DFT (PBE-GGA) results for Sc2AlB10 after structural relaxation.

```
26
Lattice="5.297 0.000 0.000 0.000 11.852 0.000 0.000 0.000 4.125" Properties=species:S:1:pos:R:3 pbc="T T T"
Sc 1.044 1.973 0.000
Sc 1.604 7.899 0.000
Sc 3.692 3.953 0.000
Sc 4.253 9.879 0.000
Al 0.000 5.926 2.062
Al 2.648 0.000 2.062
B 0.149 3.687 2.062
B 0.595 11.280 2.062
B 0.758 9.540 2.062
B 1.107 4.498 0.818
B 1.107 4.498 3.307
B 1.541 10.424 0.818
B 1.541 10.424 3.307
B 1.890 3.615 2.062
B 2.054 5.354 2.062
B 2.499 9.612 2.062
B 2.798 2.239 2.062
B 3.243 6.498 2.062
B 3.407 8.237 2.062
B 3.755 1.428 0.818
B 3.755 1.428 3.307
B 4.190 7.354 0.818
B 4.190 7.354 3.307
B 4.538 2.311 2.062
B 4.702 0.572 2.062
B 5.147 8.165 2.062
```

## Properties
**M_tot**: 0.00 μB per cell
**Formation energy**: -0.234 eV/atom
**Density**: 2.9 g cm⁻³
**Uncorrected energy**: -6.633 eV per atom
**SG**: Pbam, No. 55